Version P
TaReNiB | the Open Quantum Materials Database | PBE-GGA | relaxed; total magnetization = 0.0002 μB/atom
1.0
3.654 -0.904 -1.683
1.935 -3.494 1.025
0.306 -3.067 -2.739
B Re Ni Ta
1 1 1 1
Cartesian
0.000 0.000 0.000
4.421 -5.599 -2.548
2.947 -3.733 -1.698
1.474 -1.866 -0.849

Version Q
TaReNiB | the Open Quantum Materials Database | PBE-GGA | relaxed; total magnetization = 0.0096 μB/atom
1.0
-2.049 -2.811 2.397
-3.384 1.194 2.230
-3.849 -1.329 -1.126
Re B Ni Ta
1 1 1 1
Cartesian
-4.641 -1.473 1.751
0.000 0.000 0.000
-6.962 -2.210 2.626
-2.321 -0.737 0.875

Preferred: version P; penalty for the next structure: 0.490 eV/atom.

Version P
ReTcNiB | the Open Quantum Materials Database | PBE-GGA | relaxed; total magnetization = 0.1328 μB/atom
1.0
0.901 -3.394 -2.106
-3.005 -2.270 -1.608
-0.546 -0.098 -4.057
Re Ni B Tc
1 1 1 1
Cartesian
-1.325 -2.881 -3.886
-1.987 -4.322 -5.829
0.000 0.000 0.000
-0.662 -1.441 -1.943

Version Q
ReTcNiB | the Open Quantum Materials Database | PBE-GGA | relaxed; total magnetization = 0.0006 μB/atom
1.0
0.000 2.846 2.846
2.846 0.000 2.846
2.846 2.846 0.000
Re B Ni Tc
1 1 1 1
Cartesian
1.423 1.423 1.423
0.000 0.000 0.000
2.846 2.846 2.846
4.269 4.269 4.269

Preferred: version Q; penalty for the next structure: 0.304 eV/atom.

Version P
NiB4Sb | the Open Quantum Materials Database | PBE-GGA | relaxed; total magnetization = 0.0040 μB/atom
1.0
-2.648 0.313 -1.429
0.727 -2.646 1.274
-3.419 2.359 6.850
B Sb Ni
4 1 1
Cartesian
-1.480 -0.913 2.542
-2.734 -0.048 5.054
-3.859 0.939 4.153
-2.605 0.074 1.641
0.000 0.000 0.000
-1.709 1.179 3.425

Version Q
NiB4Sb | the Open Quantum Materials Database | PBE-GGA | relaxed; total magnetization = 0.0002 μB/atom
1.0
-1.536 2.668 3.704
1.536 -2.668 3.704
1.536 2.668 -3.704
B Sb Ni
4 1 1
Cartesian
1.536 0.879 1.920
0.000 3.547 1.784
0.000 1.789 1.784
1.536 -0.879 1.920
0.000 0.000 0.000
0.000 0.000 3.704

Preferred: version P; penalty for the next structure: 0.152 eV/atom.

Version P
ScZnNiB | the Open Quantum Materials Database | PBE-GGA | relaxed; total magnetization = 0.0011 μB/atom
1.0
0.000 2.923 2.923
2.923 0.000 2.923
2.923 2.923 0.000
Ni Zn B Sc
1 1 1 1
Cartesian
1.461 1.461 1.461
2.923 2.923 2.923
0.000 0.000 0.000
4.384 4.384 4.384

Version Q
ScZnNiB | the Open Quantum Materials Database | PBE-GGA | relaxed; total magnetization = 0.0004 μB/atom
1.0
0.000 2.915 2.915
2.915 0.000 2.915
2.915 2.915 0.000
Ni B Zn Sc
1 1 1 1
Cartesian
1.458 1.458 1.458
0.000 0.000 0.000
4.373 4.373 4.373
2.915 2.915 2.915

Preferred: version P; penalty for the next structure: 0.169 eV/atom.

Version P
ZrScNiB | the Open Quantum Materials Database | PBE-GGA | relaxed; total magnetization = 0.3413 μB/atom
1.0
3.466 -0.015 2.615
0.122 -2.663 3.428
2.697 -3.404 0.011
B Zr Ni Sc
1 1 1 1
Cartesian
0.000 0.000 0.000
3.142 -3.041 3.027
4.714 -4.561 4.540
1.571 -1.520 1.513

Version Q
ZrScNiB | the Open Quantum Materials Database | PBE-GGA | relaxed; total magnetization = 0.0002 μB/atom
1.0
0.000 3.100 3.100
3.100 0.000 3.100
3.100 3.100 0.000
Sc Ni B Zr
1 1 1 1
Cartesian
4.649 4.649 4.649
3.100 3.100 3.100
0.000 0.000 0.000
1.550 1.550 1.550

Preferred: version Q; penalty for the next structure: 0.588 eV/atom.

Version P
SiNiB4 | the Open Quantum Materials Database | PBE-GGA | relaxed; total magnetization = 0.0010 μB/atom
1.0
-1.486 2.615 3.151
1.486 -2.615 3.151
1.486 2.615 -3.151
Si B Ni
1 4 1
Cartesian
0.000 0.000 3.151
1.486 -0.871 1.558
0.000 3.486 1.594
0.000 1.744 1.594
1.486 0.871 1.558
0.000 0.000 0.000

Version Q
SiNiB4 | the Open Quantum Materials Database | PBE-GGA | relaxed; total magnetization = 0.0002 μB/atom
1.0
-0.723 0.856 2.766
-0.312 -2.856 -0.808
5.898 -1.185 1.907
Si B Ni
1 4 1
Cartesian
2.949 -0.592 0.954
4.003 -2.513 1.823
3.866 -1.276 3.014
0.861 -0.672 2.043
0.997 -1.909 0.851
0.000 0.000 0.000

Preferred: version Q; penalty for the next structure: 0.041 eV/atom.

Version P
SmYNi8B2 | the Open Quantum Materials Database | PBE-GGA | relaxed; total magnetization = 0.0005 μB/atom
1.0
2.500 -4.329 0.000
2.500 4.329 0.000
0.000 0.000 6.969
Ni B Sm Y
8 2 1 1
Cartesian
1.250 2.164 1.440
2.500 1.443 3.485
1.250 -2.164 1.440
1.250 2.164 5.529
2.500 0.000 5.529
2.500 -1.443 3.485
1.250 -2.164 5.529
2.500 0.000 1.440
2.500 -1.443 0.000
2.500 1.443 0.000
0.000 0.000 3.485
0.000 0.000 0.000

Version Q
SmYNi8B2 | the Open Quantum Materials Database | PBE-GGA | relaxed; total magnetization = 0.0001 μB/atom
1.0
-4.068 2.782 -0.891
1.043 -1.484 4.668
3.746 5.799 1.007
Ni B Y Sm
8 2 1 1
Cartesian
-0.491 4.260 1.465
1.454 5.242 2.686
1.212 2.838 3.318
0.933 5.984 0.351
-1.255 2.597 -0.236
1.301 0.464 2.544
-0.733 1.855 2.098
3.488 3.851 3.131
-0.661 -0.062 2.815
-2.364 1.360 0.962
1.873 2.900 0.503
0.000 0.000 0.000

Preferred: version P; penalty for the next structure: 0.016 eV/atom.

Version P
SrNiB | the Open Quantum Materials Database | PBE-GGA | relaxed; total magnetization = 0.0044 μB/atom
1.0
0.000 3.054 3.054
3.054 0.000 3.054
3.054 3.054 0.000
Ni B Sr
1 1 1
Cartesian
1.527 1.527 1.527
0.000 0.000 0.000
4.581 4.581 4.581

Version Q
SrNiB | the Open Quantum Materials Database | PBE-GGA | relaxed; total magnetization = 0.0088 μB/atom
1.0
0.000 3.300 3.300
3.300 0.000 3.300
3.300 3.300 0.000
B Ni Sr
1 1 1
Cartesian
1.650 1.650 1.650
4.949 4.949 4.949
0.000 0.000 0.000

Preferred: version P; penalty for the next structure: 0.747 eV/atom.

Version P
TaNiB2 | the Open Quantum Materials Database | PBE-GGA | relaxed; total magnetization = 0.0000 μB/atom
1.0
3.025 0.000 0.000
0.000 1.603 4.098
0.000 -1.603 4.098
Ni B Ta
1 2 1
Cartesian
1.512 0.000 7.098
1.512 0.000 4.506
0.000 0.000 3.564
0.000 0.000 1.225

Version Q
TaNiB2 | the Open Quantum Materials Database | PBE-GGA | relaxed; total magnetization = 0.0001 μB/atom
1.0
1.838 0.836 3.369
3.593 -1.430 0.684
3.104 2.406 -0.001
B Ni Ta
2 1 1
Cartesian
0.000 0.000 0.000
6.401 1.359 3.039
2.134 0.453 1.013
4.268 0.906 2.026

Preferred: version P; penalty for the next structure: 1.164 eV/atom.

Version P
TaNiB4 | the Open Quantum Materials Database | PBE-GGA | relaxed; total magnetization = 0.0000 μB/atom
1.0
3.580 -0.978 2.561
-0.711 3.166 3.132
-1.824 -3.796 -1.612
B Ni Ta
4 1 1
Cartesian
-0.839 1.077 2.051
1.272 -1.020 1.699
-0.227 -0.588 2.382
1.885 -2.685 2.030
0.000 0.000 0.000
1.435 1.094 2.846

Version Q
TaNiB4 | the Open Quantum Materials Database | PBE-GGA | relaxed; total magnetization = 0.0004 μB/atom
1.0
3.036 0.000 0.000
-1.518 2.629 0.000
0.000 0.000 6.403
B Ta Ni
4 1 1
Cartesian
1.518 0.876 1.518
1.518 0.876 4.884
0.000 1.753 1.518
0.000 1.753 4.884
0.000 0.000 3.201
0.000 0.000 0.000

Preferred: version Q; penalty for the next structure: 0.036 eV/atom.

Version P
ZrTaNiB | the Open Quantum Materials Database | PBE-GGA | relaxed; total magnetization = 0.0220 μB/atom
1.0
3.447 -2.478 0.795
-0.056 -4.185 -1.068
2.435 -1.427 -3.270
Ni Zr B Ta
1 1 1 1
Cartesian
2.913 -4.045 -1.771
4.370 -6.067 -2.657
0.000 0.000 0.000
1.457 -2.022 -0.886

Version Q
ZrTaNiB | the Open Quantum Materials Database | PBE-GGA | relaxed; total magnetization = 0.4886 μB/atom
1.0
1.010 -4.000 1.420
-1.650 -1.459 3.766
-3.021 -3.148 -0.016
Zr B Ta Ni
1 1 1 1
Cartesian
-1.831 -4.304 2.585
0.000 0.000 0.000
-0.915 -2.152 1.292
-2.746 -6.456 3.877

Preferred: version P; penalty for the next structure: 0.700 eV/atom.

Version P
TbNiB4 | the Open Quantum Materials Database | PBE-GGA | relaxed; total magnetization = 0.0011 μB/atom
1.0
-0.227 2.027 4.391
1.380 4.535 -0.987
-3.533 -3.196 -0.865
B Tb Ni
4 1 1
Cartesian
-0.949 1.233 1.995
-0.137 2.536 -0.669
-1.431 2.134 0.545
-2.243 0.830 3.208
0.576 3.281 1.702
0.000 0.000 0.000

Version Q
TbNiB4 | the Open Quantum Materials Database | PBE-GGA | relaxed; total magnetization = 0.0002 μB/atom
1.0
-1.860 -2.530 -0.547
1.170 0.517 2.920
-5.248 3.540 1.476
B Tb Ni
4 1 1
Cartesian
-1.394 0.549 2.201
-3.535 1.993 2.803
-2.404 -0.466 1.046
-4.545 0.977 1.648
0.000 0.000 0.000
-2.624 1.770 0.738

Preferred: version Q; penalty for the next structure: 0.141 eV/atom.